Record 1
Entry from Alexandria: an optimized crystal structure of RbThTe4Au2 (GGA-PBE).

```
RbThTe4Au2
1.0
6.530 0.000 0.000
3.265 6.610 -0.074
3.265 0.468 6.594
Rb Th Te Au
1 1 4 2
direct
0.000 0.000 0.000
0.500 0.500 0.500
0.485 0.088 0.510
0.083 0.912 0.490
0.917 0.510 0.088
0.515 0.490 0.912
0.147 0.353 0.353
0.853 0.647 0.647
```

Calculated values
formation energy from raw total energies	-0.548	eV per atom
crystal system	orthorhombic

Record 2
Entry from Alexandria: an optimized crystal structure of Er4SnPbN (GGA-PBE).

```
Er4SnPbN
1.0
6.615 0.000 0.000
0.000 6.612 0.000
-3.307 0.000 7.937
Er Sn Pb N
8 2 2 2
direct
0.906 0.250 0.812
0.408 0.750 0.817
0.094 0.750 0.188
0.592 0.250 0.183
0.500 0.500 0.500
0.000 0.000 0.500
0.500 0.000 0.500
0.000 0.500 0.500
0.608 0.750 0.215
0.392 0.250 0.785
0.105 0.250 0.209
0.895 0.750 0.791
0.249 0.750 0.499
0.751 0.250 0.501
```

Calculated values
formation energy from raw total energies	-0.917	eV per atom
crystal system	orthorhombic

Record 3
Entry from Alexandria: an optimized crystal structure of TaZn3Fe (GGA-PBE).

```
TaZn3Fe
1.0
-4.657 1.103 -1.205
-1.376 -0.685 4.690
0.880 4.761 0.954
Zn Fe Ta
3 1 1
direct
0.000 0.500 0.000
0.000 0.000 0.500
0.500 0.000 0.000
0.500 0.500 0.500
0.000 0.000 0.000
```

Calculated values
ΔE_f	1.865	eV/atom
energy above the most stable polymorph in this dataset	967.9	meV/atom
crystal system	cubic

Record 4
Entry from Alexandria: an optimized crystal structure of CeGdAgPb (GGA-PBE).

```
CeGdAgPb
1.0
5.394 0.000 0.000
2.697 4.671 0.000
2.697 1.557 4.404
Pb Gd Ag Ce
1 1 1 1
direct
0.750 0.750 0.750
0.500 0.500 0.500
0.250 0.250 0.250
0.000 0.000 0.000
```

Calculated values
ΔE_f	-0.320	eV/atom
crystal system	cubic

Record 5
Entry from Alexandria: an optimized crystal structure of CsRb2ZrBr6 (GGA-PBE).

```
CsRb2ZrBr6
1.0
7.880 0.000 0.000
3.940 6.824 0.000
3.940 2.275 17.488
Cs Rb Zr Br
2 4 2 12
direct
0.584 0.584 0.248
0.416 0.416 0.752
0.853 0.853 0.442
0.147 0.147 0.558
0.686 0.686 0.942
0.314 0.314 0.058
0.000 0.000 0.000
0.500 0.500 0.500
0.857 0.367 0.410
0.367 0.857 0.410
0.367 0.367 0.410
0.143 0.633 0.590
0.633 0.143 0.590
0.633 0.633 0.590
0.707 0.192 0.909
0.192 0.707 0.909
0.192 0.192 0.909
0.293 0.808 0.091
0.808 0.293 0.091
0.808 0.808 0.091
```

Calculated values
formation energy from raw total energies	-1.556	eV per atom
energy above the most stable polymorph in this dataset	0.0	meV/atom
crystal system	trigonal

Record 6
Entry from Alexandria: an optimized crystal structure of CdAg2Hg (GGA-PBE).

```
CdAg2Hg
1.0
-2.951 3.484 3.262
-2.465 -1.778 -4.679
-2.026 -1.916 1.205
Hg Ag Cd
1 2 1
direct
0.500 0.000 0.500
0.000 0.000 0.000
0.000 0.500 0.500
0.500 0.500 0.000
```

Calculated values
ΔE_f	0.040	eV/atom
energy above the most stable polymorph in this dataset	33.8	meV/atom
crystal system	monoclinic

Record 7
Entry from Alexandria: an optimized crystal structure of PrSbH2Rh2 (GGA-PBE).

```
PrSbH2Rh2
1.0
5.743 0.000 0.000
0.000 4.790 0.324
0.000 -1.479 6.906
Pr Sb H Rh
2 2 4 4
direct
0.750 0.253 0.645
0.250 0.747 0.355
0.250 0.291 0.892
0.750 0.709 0.108
0.250 0.241 0.339
0.250 0.662 0.667
0.750 0.759 0.661
0.750 0.338 0.333
0.512 0.212 0.195
0.988 0.212 0.195
0.012 0.788 0.805
0.488 0.788 0.805
```

Calculated values
DFT total energy	-5.5361	eV/atom
crystal system	monoclinic

Record 8
Entry from Alexandria: an optimized crystal structure of CaW4S8 (GGA-PBE).

```
CaW4S8
1.0
5.724 0.000 -3.088
-3.695 5.352 0.000
0.715 0.494 8.173
Ca W S
1 4 8
direct
0.000 0.500 0.500
0.000 0.000 0.000
0.000 0.500 0.000
0.500 0.500 0.000
0.500 0.000 0.000
0.476 0.738 0.214
0.524 0.262 0.786
0.474 0.237 0.216
0.021 0.258 0.784
0.526 0.763 0.784
0.021 0.763 0.784
0.979 0.237 0.216
0.979 0.742 0.216
```

Calculated values
formation energy from raw total energies	-0.663	eV per atom
crystal system	trigonal

Record 9
Entry from Alexandria: an optimized crystal structure of InWAu3 (GGA-PBE).

```
InWAu3
1.0
-4.693 -2.015 -0.484
0.199 -1.632 4.859
-2.062 4.426 1.571
Au W In
3 1 1
direct
0.000 0.500 0.000
0.000 0.000 0.500
0.500 0.000 0.000
0.000 0.000 0.000
0.500 0.500 0.500
```

Calculated values
ΔE_f	0.955	eV/atom
energy above the most stable polymorph in this dataset	0.0	meV/atom
crystal system	cubic

Record 10
Entry from Alexandria: an optimized crystal structure of In2AgCl (GGA-PBE).

```
In2AgCl
1.0
6.396 0.018 -0.006
3.393 5.423 0.006
-4.251 -3.878 2.794
Cl Ag In
1 1 2
direct
0.255 0.755 0.500
0.510 0.510 0.000
0.999 0.999 0.000
0.737 0.237 0.500
```

Calculated values
formation energy from raw total energies	-0.213	eV per atom
energy above the most stable polymorph in this dataset	70.1	meV/atom
crystal system	orthorhombic

Record 11
Entry from Alexandria: an optimized crystal structure of CaSiSb2 (GGA-PBE).

```
CaSiSb2
1.0
3.513 -0.033 0.000
-0.692 3.445 0.000
0.000 0.000 8.441
Ca Sb Si
1 2 1
direct
0.500 0.500 0.750
0.000 0.000 0.025
0.000 0.000 0.475
0.500 0.500 0.250
```

Calculated values
formation energy from raw total energies	0.006	eV per atom
crystal system	orthorhombic

Record 12
Entry from Alexandria: an optimized crystal structure of TiNb3Ni (GGA-PBE).

```
TiNb3Ni
1.0
4.628 0.000 0.000
0.000 4.628 0.000
0.000 0.000 4.628
Ni Nb Ti
1 3 1
direct
0.000 0.000 0.000
0.000 0.500 0.000
0.000 0.000 0.500
0.500 0.000 0.000
0.500 0.500 0.500
```

Calculated values
ΔE_f	0.806	eV/atom
energy above the most stable polymorph in this dataset	0.0	meV/atom
crystal system	cubic

So what do the calculations give for V? Going down the list: 35.6 24.8 24.0 27.7 47.0 20.0 16.1 20.6 27.0 24.2 25.5 19.8 Å³/atom.